[1]
LiTlBrO5: relaxed, PBE.

Output
**Formation energy (no corrections)**: -290 meV/atom
**Crystal system**: monoclinic

Cell lengths 6.4367, 6.4367, 7.3748 Å; angles 103.66, 103.66, 116.40 degrees
Positions (direct):
Li: 0.2454 0.7546 0.7500
Li: 0.7546 0.2454 0.2500
Tl: 0.5000 0.5000 0.0000
Tl: 0.5000 0.5000 0.5000
Br: 0.2166 0.7834 0.2500
Br: 0.7834 0.2166 0.7500
O: 0.0479 0.2885 0.9333
O: 0.1197 0.5659 0.3872
O: 0.2885 0.0479 0.4333
O: 0.4234 0.5766 0.7500
O: 0.4341 0.8803 0.1128
O: 0.5659 0.1197 0.8872
O: 0.5766 0.4234 0.2500
O: 0.7115 0.9521 0.5667
O: 0.8803 0.4341 0.6128
O: 0.9521 0.7115 0.0667

[2]
PrDy2ScS4: relaxed, PBE.

Output
**Formation energy (no corrections)**: -1930 meV/atom
**Crystal system**: monoclinic

Cell lengths 6.7472, 3.8714, 6.8697 Å; angles 90.00, 108.92, 90.00 degrees
Positions (direct):
Pr: 0.0000 0.0000 0.0000
Dy: 0.5000 0.0000 0.5000
Dy: 0.5000 0.5000 0.0000
Sc: 0.0000 0.5000 0.5000
S: 0.2453 0.0000 0.7341
S: 0.2566 0.5000 0.2670
S: 0.7434 0.5000 0.7330
S: 0.7547 0.0000 0.2659

[3]
NbPdW2: relaxed, PBE.

Output
**Crystal system**: cubic
**Energy of formation**: 0.321 eV per atom

Cell lengths 4.5344, 4.5344, 4.5344 Å; angles 60.00, 60.00, 60.00 degrees
Positions (direct):
Nb: 0.0000 0.0000 0.0000
Pd: 0.5000 0.5000 0.5000
W: 0.2500 0.2500 0.2500
W: 0.7500 0.7500 0.7500

[4]
Ta2HgTe: relaxed, PBE.

Output
**Formation energy (no corrections)**: 421 meV/atom
**Crystal system**: monoclinic

Cell lengths 3.1465, 4.9790, 5.5935 Å; angles 90.00, 106.23, 90.00 degrees
Positions (direct):
Ta: 0.0000 0.0000 0.0000
Ta: 0.3852 0.5000 0.7772
Hg: 0.7366 0.0000 0.4831
Te: 0.1040 0.5000 0.2153

[5]
Pr2Ho5Er3: relaxed, PBE.

Output
**Crystal system**: orthorhombic
**Energy of formation**: 0.418 eV per atom

Cell lengths 12.2790, 12.2790, 12.2790 Å; angles 135.09, 56.19, 148.02 degrees
Positions (direct):
Pr: 0.1253 0.1044 0.2296
Pr: 0.3747 0.6044 0.9791
Pr: 0.6253 0.3956 0.0209
Pr: 0.8747 0.8956 0.7704
Ho: 0.0019 0.7500 0.2519
Ho: 0.1243 0.4129 0.5373
Ho: 0.2500 0.7500 0.5000
Ho: 0.3757 0.9129 0.2886
Ho: 0.4981 0.7500 0.7481
Ho: 0.5019 0.2500 0.2519
Ho: 0.6243 0.0871 0.7114
Ho: 0.7500 0.2500 0.5000
Ho: 0.8757 0.5871 0.4627
Ho: 0.9981 0.2500 0.7481
Er: 0.1247 0.7496 0.8743
Er: 0.2500 0.2500 0.0000
Er: 0.3753 0.2496 0.6248
Er: 0.6247 0.7504 0.3752
Er: 0.7500 0.7500 0.0000
Er: 0.8753 0.2504 0.1257

[6]
KV6Se8: relaxed, PBE.

Output
**Formation energy (no corrections)**: -749 meV/atom
**Crystal system**: trigonal

Cell lengths 6.8391, 6.8391, 6.8391 Å; angles 90.00, 90.00, 90.00 degrees
Positions (direct):
K: 0.0000 0.0000 0.0000
V: 0.2257 0.4181 0.5682
V: 0.4181 0.5682 0.2257
V: 0.4318 0.7743 0.5819
V: 0.5682 0.2257 0.4181
V: 0.5819 0.4318 0.7743
V: 0.7743 0.5819 0.4318
Se: 0.1214 0.7267 0.3889
Se: 0.2534 0.2534 0.2534
Se: 0.2733 0.6111 0.8786
Se: 0.3889 0.1214 0.7267
Se: 0.6111 0.8786 0.2733
Se: 0.7267 0.3889 0.1214
Se: 0.7466 0.7466 0.7466
Se: 0.8786 0.2733 0.6111

no.,electronic total energy (eV/atom)
1,-4.133
2,-6.533
3,-9.971
4,-6.366
5,-4.195
6,-6.328